(1)
VASP calculation (PBE-GGA) on NdTm3S4 after structural relaxation.

abc: 5.5248 5.5248 5.5248
angles: 90.00 90.00 90.00
Last column: nearest neighbours and their distance in Å.
Space group Pm-3m (No. 221)
Symmetry-distinct sites (fractional):
Nd: 0.0000 0.0000 0.0000 x1  6 S 2.76
Tm: 0.0000 0.5000 0.5000 x3  6 S 2.76
S: 0.0000 0.0000 0.5000 x3  4 Tm 2.76, 2 Nd 2.76
S: 0.5000 0.5000 0.5000 x1  6 Tm 2.76

## Properties
DOS(E_F)   4.57 states/eV/cell
Formation energy from raw total energies   -15.2 eV per formula unit
VASP energy   -6.242 eV/atom



(2)
VASP calculation (PBE-GGA) on La3Sb5S12 after structural relaxation.

abc: 16.4414 16.4414 16.4414
angles: 90.00 90.00 90.00
Last column: nearest neighbours and their distance in Å.
Space group Ia-3d (No. 230)
Symmetry-distinct sites (fractional):
La: 0.0000 0.2500 0.1250 x24  8 S 3.05-3.09
Sb: 0.0000 0.0000 0.0000 x16  6 S 2.74
Sb: 0.0000 0.2500 0.3750 x24  4 S 2.61
S: 0.0184 0.0652 0.6522 x96  2 Sb 2.61-2.74

## Properties
Formation energy from raw total energies   -17.1 eV per formula unit
VASP energy   -5.101 eV/atom



(3)
VASP calculation (PBE-GGA) on SrSmRu2O8 after structural relaxation.

abc: 5.9195 5.9195 7.3125
angles: 90.00 90.00 120.00
Last column: nearest neighbours and their distance in Å.
Space group P-3 (No. 147)
Symmetry-distinct sites (fractional):
Sr: 0.0000 0.0000 0.0000 x1  6 O 2.66
Sm: 0.0000 0.0000 0.5000 x1  6 O 2.31
Ru: 0.3333 0.6667 0.7961 x2  4 O 1.77-1.83
O: 0.1627 0.8354 0.7179 x6  1 Ru 1.83
O: 0.3333 0.6667 0.0382 x2  1 Ru 1.77

## Properties
DOS(E_F)   5.82 states/eV/cell
Formation energy from raw total energies   -19.6 eV per formula unit
VASP energy   -7.015 eV/atom